(1)
Computed, not measured: a geometry-optimized MgCoNi2 structure at the GGA-PBE level of DFT.

Output
electronic total energy	-20.290	eV per cell
SG	P4/mmm
magnetization	2.55	μB/f.u.
calculated volume	12.46	A^3/atom

Cell: 2.6750 2.6750 6.9628 Å, 90.00 90.00 90.02°
Site moments in Bohr magnetons follow the coordinates.
Positions (direct):
Mg 0.5000 0.5000 0.7500  -0.01
Co 0.5000 0.5000 0.2500  1.78
Ni 0.0000 0.0000 0.0263  0.46
Ni 0.0000 0.0000 0.4737  0.46

=====

(2)
Computed, not measured: a geometry-optimized LaCdMoC2 structure at the GGA-PBE level of DFT.

Output
electronic total energy	-23.498	eV per cell
SG	P4/mmm
magnetization	2.29	μB/f.u.
calculated volume	19.91	A^3/atom

Cell: 4.3834 5.1817 4.3834 Å, 90.00 90.00 90.00°
Site moments in Bohr magnetons follow the coordinates.
Positions (direct):
C 0.5000 0.0000 0.0000  -0.09
C 0.0000 0.0000 0.5000  -0.08
Mo 0.0000 0.5000 0.0000  2.08
La 0.5000 0.5000 0.5000  0.07
Cd 0.0000 0.0000 0.0000  0.03

=====

(3)
Computed, not measured: a geometry-optimized RbLa2Mg2 structure at the GGA-PBE level of DFT.

Output
SG	P4/mbm
magnetization	0.00	μB/f.u.
ΔE to the lowest computed polymorph	0	meV/atom
calculated volume	37.18	A^3/atom

Cell: 10.2025 10.2025 3.5714 Å, 90.00 90.00 90.00°
Positions (direct):
Mg 0.3261 0.1739 0.5000
La 0.8866 0.6134 0.0000
Mg 0.8261 0.3261 0.5000
Rb 0.0000 0.0000 0.0000
Mg 0.6739 0.8261 0.5000
Rb 0.5000 0.5000 0.0000
La 0.1134 0.3866 0.0000
La 0.6134 0.1134 0.0000
Mg 0.1739 0.6739 0.5000
La 0.3866 0.8866 0.0000

=====

(4)
Computed, not measured: a geometry-optimized PrThAu4 structure at the GGA-PBE level of DFT.

Output
SG	P4/mmm
magnetization	0.00	μB/f.u.
ΔE to the lowest computed polymorph	22	meV/atom
calculated volume	23.57	A^3/atom

Cell: 3.8900 3.8900 9.3462 Å, 90.04 90.04 90.00°
Positions (direct):
Th 0.0000 0.0000 0.0000
Pr 0.5000 0.5000 0.5000
Au 0.9996 0.9997 0.3329
Au 0.0004 0.0003 0.6671
Au 0.4997 0.4997 0.8340
Au 0.5003 0.5003 0.1660

=====

(5)
Computed, not measured: a geometry-optimized Cs4AcLa3Se8 structure at the GGA-PBE level of DFT.

Output
SG	R-3m
magnetization	0.00	μB/f.u.
formation energy from raw total energies	-1809	meV/atom
calculated volume	37.38	A^3/atom

Cell: 9.0734 9.8934 9.0727 Å, 117.32 120.00 90.00°
Positions (direct):
La 0.0000 0.5000 0.5000
Se 0.2343 0.6928 0.4687
Cs 0.0000 0.0000 0.0000
Se 0.7657 0.3071 0.0413
Se 0.7657 0.3072 0.5313
Cs 0.5000 0.0000 0.0000
Se 0.2757 0.3071 0.0413
Se 0.7299 0.6895 0.4598
La 0.5000 0.5000 0.0000
La 0.5000 0.5000 0.5000
Se 0.7243 0.6929 0.9587
Se 0.2343 0.6929 0.9587
Cs 0.5000 0.0000 0.5000
Se 0.2701 0.3105 0.5402
Cs 0.0000 0.0000 0.5000
Ac 0.0000 0.5000 0.0000

=====

(6)
Computed, not measured: a geometry-optimized MgNi2MoBr structure at the GGA-PBE level of DFT.

Output
SG	P4/mmm
magnetization	0.00	μB/f.u.
formation energy from raw total energies	855	meV/atom
calculated volume	20.86	A^3/atom

Cell: 4.6343 4.8562 4.6343 Å, 90.00 90.00 90.00°
Positions (direct):
Ni 0.5000 0.0000 0.0000
Mg 0.5000 0.5000 0.5000
Br 0.0000 0.5000 0.0000
Mo 0.0000 0.0000 0.0000
Ni 0.0000 0.0000 0.5000

=====

(7)
Computed, not measured: a geometry-optimized Cr2CdW structure at the GGA-PBE level of DFT.

Output
electronic total energy	-30.550	eV per cell
SG	Immm
magnetization	0.01	μB/f.u.
calculated volume	15.02	A^3/atom

Cell: 5.0232 5.0232 5.0232 Å, 142.93 127.12 66.33°
Positions (direct):
W 0.7500 0.2500 0.5000
Cr 0.5177 0.5177 0.0000
Cr 0.9823 0.9823 0.0000
Cd 0.2500 0.7500 0.5000

=====

(8)
Computed, not measured: a geometry-optimized V6CrW5 structure at the GGA-PBE level of DFT.

Output
electronic total energy	-129.819	eV per cell
SG	C2/m
magnetization	0.00	μB/f.u.
calculated volume	14.34	A^3/atom

Cell: 4.3217 6.1306 7.5030 Å, 114.11 106.81 90.00°
Positions (direct):
W 0.0000 0.5000 0.0000
W 0.6656 0.1659 0.3318
V 0.8357 0.0828 0.6712
W 0.3344 0.8341 0.6682
W 0.3339 0.3339 0.6677
W 0.6661 0.6661 0.3323
V 0.5000 0.2445 0.0000
V 0.1643 0.4116 0.3288
V 0.8357 0.5884 0.6712
V 0.1643 0.9172 0.3288
V 0.5000 0.7555 0.0000
Cr 0.0000 0.0000 0.0000

=====

(9)
Computed, not measured: a geometry-optimized K12Cd6Pt structure at the GGA-PBE level of DFT.

Output
electronic total energy	-24.714	eV per cell
SG	R-3m
magnetization	0.00	μB/f.u.
calculated volume	46.20	A^3/atom

Cell: 9.7825 9.7825 9.7825 Å, 77.48 77.48 77.48°
Positions (direct):
Cd 0.8100 0.8101 0.0808
Cd 0.1899 0.9192 0.1900
K 0.4498 0.8136 0.4498
Cd 0.0808 0.8100 0.8101
Cd 0.1900 0.1899 0.9192
Cd 0.8101 0.0808 0.8100
Pt 0.0000 0.0000 0.0000
K 0.8136 0.4498 0.4498
K 0.1266 0.5452 0.1267
K 0.5452 0.1267 0.1266
K 0.4498 0.4498 0.8136
K 0.5502 0.5502 0.1864
Cd 0.9192 0.1900 0.1899
K 0.5502 0.1864 0.5502
K 0.8733 0.8734 0.4548
K 0.8734 0.4548 0.8733
K 0.1864 0.5502 0.5502
K 0.1267 0.1266 0.5452
K 0.4548 0.8733 0.8734

=====

(10)
Computed, not measured: a geometry-optimized CdHgRu2 structure at the GGA-PBE level of DFT.

Output
SG	P2/m
magnetization	1.59	μB/f.u.
ΔE to the lowest computed polymorph	391	meV/atom
calculated volume	17.45	A^3/atom

Cell: 4.8029 2.8597 5.0832 Å, 88.24 90.00 90.00°
Site moments in Bohr magnetons follow the coordinates.
Positions (direct):
Ru 0.0000 0.5289 0.4805  0.78
Ru 0.0000 0.9711 0.0195  0.78
Hg 0.5000 0.7500 0.7500  -0.01
Cd 0.5000 0.2500 0.2500  -0.01

=====

(11)
Computed, not measured: a geometry-optimized BaSn2PbCl8 structure at the GGA-PBE level of DFT.

Output
SG	P-1
magnetization	0.00	μB/f.u.
formation energy from raw total energies	-1408	meV/atom
calculated volume	35.06	A^3/atom

Cell: 6.9228 6.6036 9.2050 Å, 89.75 90.36 88.84°
Positions (direct):
Cl 0.2003 0.7942 0.7640
Cl 0.6730 0.7260 0.9608
Ba 0.0000 0.0000 0.5000
Cl 0.3270 0.2740 0.0392
Cl 0.1423 0.7436 0.2391
Cl 0.7997 0.2058 0.2360
Cl 0.6542 0.7153 0.5382
Sn 0.5129 0.5056 0.7568
Pb 0.0000 0.0000 0.0000
Sn 0.4871 0.4944 0.2432
Cl 0.8577 0.2564 0.7609
Cl 0.3458 0.2847 0.4618

=====

(12)
Computed, not measured: a geometry-optimized HfZr2Ga structure at the GGA-PBE level of DFT.

Output
SG	R3m
magnetization	0.00	μB/f.u.
ΔE to the lowest computed polymorph	149	meV/atom
calculated volume	21.65	A^3/atom

Cell: 3.2141 3.2141 9.8558 Å, 80.62 80.62 60.00°
Positions (direct):
Zr 0.0802 0.0802 0.7595
Zr 0.2535 0.2535 0.2395
Hf 0.4997 0.4997 0.5009
Ga 0.6666 0.6666 0.0001